First-principles (PBE) data for a geometry-optimized LiLa8Nd6 structure, as listed in Alexandria via LeMat-Bulk.

Cell: 9.855 9.855 6.333 Å, 90.00 90.00 120.00°
Element x y z (fractional)
Li (0.000, 0.000, 0.000)
La (0.047, 0.263, 0.703)
La (0.216, 0.953, 0.703)
La (0.263, 0.216, 0.297)
La (0.333, 0.667, 0.708)
La (0.667, 0.333, 0.292)
La (0.737, 0.784, 0.703)
La (0.784, 0.047, 0.297)
La (0.953, 0.737, 0.297)
Nd (0.097, 0.464, 0.201)
Nd (0.367, 0.903, 0.201)
Nd (0.464, 0.367, 0.799)
Nd (0.536, 0.633, 0.201)
Nd (0.633, 0.097, 0.799)
Nd (0.903, 0.536, 0.799)

=====

First-principles (PBE) data for a geometry-optimized SmBOs structure, as listed in Alexandria via LeMat-Bulk.

Values from the calculation:
Distance to the lowest polymorph of the same formula (eV per atom): 0.046

Cell: 9.903 4.029 5.719 Å, 90.00 90.00 90.00°
Element x y z (fractional)
Sm (0.165, 0.250, 0.087)
Sm (0.335, 0.750, 0.587)
Sm (0.665, 0.250, 0.413)
Sm (0.835, 0.750, 0.913)
B (0.074, 0.750, 0.689)
B (0.426, 0.250, 0.189)
B (0.574, 0.750, 0.811)
B (0.926, 0.250, 0.311)
Os (0.064, 0.250, 0.609)
Os (0.436, 0.750, 0.109)
Os (0.564, 0.250, 0.891)
Os (0.936, 0.750, 0.391)

=====

First-principles (PBE) data for a geometry-optimized Ce12Th3Ag structure, as listed in Alexandria via LeMat-Bulk.

Cell: 4.794 4.794 19.123 Å, 90.00 90.00 90.00°
Element x y z (fractional)
Ce (0.000, 0.000, 0.000)
Ce (0.000, 0.000, 0.249)
Ce (0.000, 0.000, 0.500)
Ce (0.000, 0.000, 0.751)
Ce (0.000, 0.500, 0.121)
Ce (0.000, 0.500, 0.374)
Ce (0.000, 0.500, 0.626)
Ce (0.000, 0.500, 0.879)
Ce (0.500, 0.000, 0.121)
Ce (0.500, 0.000, 0.374)
Ce (0.500, 0.000, 0.626)
Ce (0.500, 0.000, 0.879)
Th (0.500, 0.500, 0.246)
Th (0.500, 0.500, 0.500)
Th (0.500, 0.500, 0.754)
Ag (0.500, 0.500, 0.000)

=====

First-principles (PBE) data for a geometry-optimized Ho3NiSeCl structure, as listed in Alexandria via LeMat-Bulk.

Values from the calculation:
Formation energy without anion corrections (meV per atom): -995

Cell: 8.228 3.835 9.186 Å, 90.00 104.21 90.00°
Element x y z (fractional)
Ho (0.065, 0.250, 0.345)
Ho (0.192, 0.250, 0.989)
Ho (0.393, 0.750, 0.609)
Ho (0.607, 0.250, 0.391)
Ho (0.808, 0.750, 0.011)
Ho (0.935, 0.750, 0.655)
Ni (0.167, 0.250, 0.643)
Ni (0.833, 0.750, 0.357)
Se (0.312, 0.750, 0.261)
Se (0.688, 0.250, 0.739)
Cl (0.379, 0.750, 0.895)
Cl (0.621, 0.250, 0.105)

=====

First-principles (PBE) data for a geometry-optimized Ce3U3BeN8 structure, as listed in Alexandria via LeMat-Bulk.

Values from the calculation:
Formation energy without anion corrections (meV per atom): -1053

Cell: 6.891 6.891 6.891 Å, 58.36 58.36 58.36°
Element x y z (fractional)
Ce (0.000, 0.500, 0.500)
Ce (0.500, 0.000, 0.500)
Ce (0.500, 0.500, 0.000)
U (0.000, 0.000, 0.500)
U (0.000, 0.500, 0.000)
U (0.500, 0.000, 0.000)
Be (0.500, 0.500, 0.500)
N (0.242, 0.242, 0.242)
N (0.244, 0.730, 0.730)
N (0.270, 0.270, 0.756)
N (0.270, 0.756, 0.270)
N (0.730, 0.244, 0.730)
N (0.730, 0.730, 0.244)
N (0.756, 0.270, 0.270)
N (0.758, 0.758, 0.758)

=====

First-principles (PBE) data for a geometry-optimized MnSb2IN structure, as listed in Alexandria via LeMat-Bulk.

Values from the calculation:
Formation energy without anion corrections (meV per atom): 914
Distance to the lowest polymorph of the same formula (eV per atom): 0.000

Cell: 4.817 4.817 4.750 Å, 90.00 90.00 90.00°
Element x y z (fractional)
Mn (0.000, 0.000, 0.000)
Sb (0.000, 0.500, 0.500)
Sb (0.500, 0.000, 0.500)
I (0.500, 0.500, 0.000)
N (0.500, 0.500, 0.500)

=====

First-principles (PBE) data for a geometry-optimized Ac8NdTl6 structure, as listed in Alexandria via LeMat-Bulk.

Cell: 9.040 9.040 9.040 Å, 65.90 65.90 65.90°
Element x y z (fractional)
Ac (0.049, 0.389, 0.724)
Ac (0.165, 0.165, 0.165)
Ac (0.276, 0.951, 0.611)
Ac (0.389, 0.724, 0.049)
Ac (0.611, 0.276, 0.951)
Ac (0.724, 0.049, 0.389)
Ac (0.835, 0.835, 0.835)
Ac (0.951, 0.611, 0.276)
Nd (0.500, 0.500, 0.500)
Tl (0.121, 0.766, 0.444)
Tl (0.234, 0.556, 0.879)
Tl (0.444, 0.121, 0.766)
Tl (0.556, 0.879, 0.234)
Tl (0.766, 0.444, 0.121)
Tl (0.879, 0.234, 0.556)

=====

First-principles (PBE) data for a geometry-optimized PrZn6Ag6 structure, as listed in Alexandria via LeMat-Bulk.

Cell: 7.116 7.116 7.116 Å, 136.93 97.75 97.74°
Element x y z (fractional)
Pr (0.000, 0.000, 0.000)
Zn (0.000, 0.000, 0.500)
Zn (0.000, 0.500, 0.000)
Zn (0.227, 0.727, 0.500)
Zn (0.500, 0.000, 0.000)
Zn (0.500, 0.500, 0.500)
Zn (0.773, 0.273, 0.500)
Ag (0.204, 0.500, 0.704)
Ag (0.346, 0.346, 0.000)
Ag (0.350, 0.000, 0.350)
Ag (0.650, 0.000, 0.650)
Ag (0.654, 0.654, 0.000)
Ag (0.796, 0.500, 0.296)

=====

Final energy per entry: -4.553 -7.800 -5.988 -5.136 -9.186 -4.544 -3.628 -2.433 eV/atom
M_tot per entry: 0.0 0.0 4.4 0.0 4.8 4.0 0.0 0.0 Bohr magnetons per cell